Density functional theory data (PBE) for a relaxed PmPr2Au crystal.

Output
**E above lowest polymorph**: 0 meV/atom
**SG**: Cmcm (63)
**E_form**: -0.40 eV/atom

Cell and atoms, written as POSCAR:
```
PmPr2Au
1.0
1.930 -6.235 0.000
1.930 6.235 0.000
0.000 0.000 10.263
Pm Pr Au
2 4 2
Cartesian
1.930 5.424 7.698
1.930 -5.424 2.566
1.930 1.668 5.647
1.930 1.668 9.748
1.930 -1.668 0.516
1.930 -1.668 4.616
1.930 3.276 2.566
1.930 -3.276 7.698
```



Density functional theory data (PBE) for a relaxed Pm3Pr2Au7 crystal.

Output
**SG**: Cmmm (65)
**E_form**: -0.64 eV/atom

Cell and atoms, written as POSCAR:
```
Pm3Pr2Au7
1.0
2.602 -11.074 0.000
2.602 11.074 0.000
0.000 0.000 5.432
Pm Pr Au
3 2 7
Cartesian
0.000 0.000 0.000
2.602 7.432 0.000
2.602 -7.432 0.000
2.602 3.132 2.716
2.602 -3.132 2.716
2.602 9.517 2.716
2.602 6.198 2.716
2.602 1.869 0.000
2.602 0.000 2.716
2.602 -1.869 0.000
2.602 -6.198 2.716
2.602 -9.517 2.716
```



Density functional theory data (PBE) for a relaxed PmPrAu4 crystal.

Output
**E above lowest polymorph**: 2 meV/atom
**SG**: C2/m (12)
**E_form**: -0.77 eV/atom

Cell and atoms, written as POSCAR:
```
PmPrAu4
1.0
2.738 -4.646 0.000
2.738 4.646 0.000
-0.014 0.000 5.457
Pm Pr Au
1 1 4
Cartesian
0.000 0.000 0.000
2.731 0.000 2.729
2.731 3.113 2.729
2.738 1.552 0.000
2.738 -1.552 0.000
2.731 -3.113 2.729
```



Density functional theory data (PBE) for a relaxed Pm2PrAu crystal.

Output
**E above lowest polymorph**: 147 meV/atom
**SG**: R-3m (166)
**E_form**: -0.26 eV/atom

Cell and atoms, written as POSCAR:
```
Pm2PrAu
1.0
1.888 1.090 10.354
-1.888 1.090 10.354
0.000 -2.180 10.354
Pm Pr Au
2 1 1
Cartesian
0.000 0.000 7.336
0.000 0.000 23.727
0.000 0.000 0.000
0.000 0.000 15.532
```



Density functional theory data (PBE) for a relaxed Pm3PrAu4 crystal.

Output
**E above lowest polymorph**: 0 meV/atom
**SG**: Im-3m (229)
**E_form**: -0.77 eV/atom

Cell and atoms, written as POSCAR:
```
Pm3PrAu4
1.0
-3.710 3.710 3.710
3.710 -3.710 3.710
3.710 3.710 -3.710
Pm Pr Au
3 1 4
Cartesian
3.710 0.000 0.000
0.000 3.710 0.000
0.000 0.000 3.710
0.000 0.000 0.000
1.855 1.855 -1.855
1.855 -1.855 1.855
-1.855 1.855 1.855
1.855 1.855 1.855
```



Density functional theory data (PBE) for a relaxed Pm2PrAu crystal.

Output
**E above lowest polymorph**: 188 meV/atom
**SG**: P4/mmm (123)
**E_form**: -0.22 eV/atom

Cell and atoms, written as POSCAR:
```
Pm2PrAu
1.0
4.865 0.000 0.000
0.000 4.865 0.000
0.000 0.000 4.867
Pm Pr Au
2 1 1
Cartesian
0.000 2.433 0.000
2.433 0.000 0.000
0.000 0.000 2.433
2.433 2.433 2.433
```



Density functional theory data (PBE) for a relaxed Pm2PrAu2 crystal.

Output
**SG**: P4/mbm (127)
**E_form**: -0.64 eV/atom

Cell and atoms, written as POSCAR:
```
Pm2PrAu2
1.0
8.427 0.000 0.000
0.000 8.427 0.000
0.000 0.000 3.898
Pm Pr Au
4 2 4
Cartesian
1.382 2.832 0.000
2.832 7.046 0.000
5.595 1.382 0.000
7.046 5.595 0.000
0.000 0.000 1.949
4.214 4.214 1.949
1.081 5.295 1.949
3.132 1.081 1.949
5.295 7.346 1.949
7.346 3.132 1.949
```



Density functional theory data (PBE) for a relaxed PmPr2Au2 crystal.

Output
**E above lowest polymorph**: 0 meV/atom
**SG**: P4/mbm (127)
**E_form**: -0.63 eV/atom

Cell and atoms, written as POSCAR:
```
PmPr2Au2
1.0
8.449 0.000 0.000
0.000 8.449 0.000
0.000 0.000 3.955
Pm Pr Au
2 4 4
Cartesian
0.000 0.000 0.000
4.224 4.224 0.000
1.397 2.827 1.978
2.827 7.051 1.978
5.622 1.397 1.978
7.051 5.622 1.978
1.087 5.311 0.000
3.137 1.087 0.000
5.311 7.361 0.000
7.361 3.137 0.000
```



Density functional theory data (PBE) for a relaxed PmPr2Au crystal.

Output
**E above lowest polymorph**: 12 meV/atom
**SG**: Pnma (62)
**E_form**: -0.39 eV/atom

Cell and atoms, written as POSCAR:
```
PmPr2Au
1.0
7.235 0.000 0.000
0.000 10.353 0.000
0.000 0.000 6.789
Pm Pr Au
4 8 4
Cartesian
0.116 2.588 0.913
3.502 7.765 4.307
3.734 2.588 2.482
7.119 7.765 5.876
1.411 0.555 4.592
1.411 4.621 4.592
2.207 5.732 1.197
2.207 9.798 1.197
5.028 0.555 5.592
5.028 4.621 5.592
5.825 5.732 2.197
5.825 9.798 2.197
0.749 7.765 2.980
2.869 2.588 6.374
4.366 7.765 0.415
6.487 2.588 3.809
```



Density functional theory data (PBE) for a relaxed Pm2PrAu8 crystal.

Output
**SG**: C2/m (12)
**E_form**: -0.69 eV/atom

Cell and atoms, written as POSCAR:
```
Pm2PrAu8
1.0
4.026 -7.681 0.000
4.026 7.681 0.000
-3.404 0.000 3.993
Pm Pr Au
2 1 8
Cartesian
4.026 4.836 0.000
4.026 -4.836 0.000
2.324 0.000 1.996
7.200 0.000 0.998
-2.551 0.000 2.995
-0.432 2.035 3.078
2.324 3.094 1.996
-0.432 -2.035 3.078
5.080 2.035 0.915
2.324 -3.094 1.996
5.080 -2.035 0.915
```



Density functional theory data (PBE) for a relaxed PmPr3Au7 crystal.

Output
**SG**: Cmcm (63)
**E_form**: -0.70 eV/atom

Cell and atoms, written as POSCAR:
```
PmPr3Au7
1.0
1.939 -11.283 0.000
1.939 11.283 0.000
0.000 0.000 12.910
Pm Pr Au
2 6 14
Cartesian
1.939 11.179 9.683
1.939 -11.179 3.228
1.939 8.094 0.757
1.939 8.094 5.699
1.939 7.031 9.683
1.939 -7.031 3.228
1.939 -8.094 7.212
1.939 -8.094 12.154
1.939 4.999 0.876
1.939 4.999 5.579
1.939 2.673 9.683
1.939 2.192 1.736
1.939 2.192 4.719
1.939 0.811 7.496
1.939 0.811 11.869
1.939 -0.811 1.041
1.939 -0.811 5.414
1.939 -2.192 8.191
1.939 -2.192 11.174
1.939 -2.673 3.228
1.939 -4.999 7.331
1.939 -4.999 12.034
```



Density functional theory data (PBE) for a relaxed PmPr2Au4 crystal.

Output
**SG**: I4/mmm (139)
**E_form**: -0.64 eV/atom

Cell and atoms, written as POSCAR:
```
PmPr2Au4
1.0
-2.692 2.692 6.575
2.692 -2.692 6.575
2.692 2.692 -6.575
Pm Pr Au
1 2 4
Cartesian
0.000 0.000 0.000
0.000 0.000 3.692
0.000 0.000 9.458
2.692 0.000 1.532
2.692 0.000 5.043
0.000 2.692 1.532
0.000 2.692 5.043
```



Density functional theory data (PBE) for a relaxed Pm2PrAu crystal.

Output
**E above lowest polymorph**: 34 meV/atom
**SG**: P4/mmm (123)
**E_form**: -0.37 eV/atom

Cell and atoms, written as POSCAR:
```
Pm2PrAu
1.0
3.727 0.000 0.000
0.000 3.727 0.000
0.000 0.000 8.716
Pm Pr Au
2 1 1
Cartesian
0.000 0.000 1.782
0.000 0.000 6.934
1.864 1.864 4.358
1.864 1.864 0.000
```



Density functional theory data (PBE) for a relaxed Pm3Pr3Au4 crystal.

Output
**SG**: Amm2 (38)
**E_form**: -0.63 eV/atom

Cell and atoms, written as POSCAR:
```
Pm3Pr3Au4
1.0
3.942 0.000 0.000
0.000 5.986 5.936
0.000 -5.986 5.936
Pm Pr Au
3 3 4
Cartesian
0.000 0.000 0.000
1.971 -2.984 6.910
1.971 2.984 6.910
0.000 -1.979 3.937
0.000 1.979 3.937
0.000 0.000 7.955
1.971 0.000 2.400
1.971 0.000 5.480
1.971 -1.532 9.934
1.971 1.532 9.934
```



Density functional theory data (PBE) for a relaxed PmPr3Au crystal.

Output
**SG**: Cmc2_1 (36)
**E_form**: -0.14 eV/atom

Cell and atoms, written as POSCAR:
```
PmPr3Au
1.0
4.018 -7.393 0.000
4.018 7.393 0.000
0.000 0.000 6.013
Pm Pr Au
2 6 2
Cartesian
4.018 6.436 3.006
4.018 -6.436 0.000
1.923 2.088 2.907
1.923 -2.088 5.913
4.018 1.133 5.871
4.018 -1.133 2.864
6.112 2.088 2.907
6.112 -2.088 5.913
4.018 3.767 1.628
4.018 -3.767 4.634
```



Density functional theory data (PBE) for a relaxed Pm3PrAu2 crystal.

Output
**E above lowest polymorph**: 0 meV/atom
**SG**: Pmc2_1 (26)
**E_form**: -0.56 eV/atom

Cell and atoms, written as POSCAR:
```
Pm3PrAu2
1.0
5.108 0.000 0.000
0.000 9.258 0.000
0.000 0.000 7.317
Pm Pr Au
6 2 4
Cartesian
0.000 0.675 0.000
0.000 3.093 2.606
0.000 6.165 6.265
0.000 8.583 3.659
2.554 1.522 4.826
2.554 7.736 1.167
2.554 3.948 0.116
2.554 5.310 3.775
0.000 3.183 5.592
0.000 6.075 1.933
2.554 1.409 1.843
2.554 7.849 5.501
```



Density functional theory data (PBE) for a relaxed PmPr5Au6 crystal.

Output
**SG**: P2/m (10)
**E_form**: -0.75 eV/atom

Cell and atoms, written as POSCAR:
```
PmPr5Au6
1.0
5.306 0.000 0.000
0.000 7.416 0.000
-2.577 0.000 7.957
Pm Pr Au
1 5 6
Cartesian
0.000 0.000 0.000
0.000 3.708 0.000
0.050 0.000 5.306
0.050 3.708 5.297
2.680 0.000 2.651
2.680 3.708 2.659
0.029 1.839 2.620
0.029 5.577 2.620
2.653 1.817 0.000
2.653 5.599 0.000
2.701 1.839 5.337
2.701 5.577 5.337
```



Density functional theory data (PBE) for a relaxed Pm2PrAu crystal.

Output
**E above lowest polymorph**: 180 meV/atom
**SG**: P4/mmm (123)
**E_form**: -0.22 eV/atom

Cell and atoms, written as POSCAR:
```
Pm2PrAu
1.0
5.530 0.000 0.000
0.000 5.530 0.000
0.000 0.000 3.730
Pm Pr Au
2 1 1
Cartesian
0.000 2.765 0.000
2.765 0.000 0.000
0.000 0.000 1.865
2.765 2.765 1.865
```



Density functional theory data (PBE) for a relaxed Pm2Pr2Au3 crystal.

Output
**SG**: I2_13 (199)
**E_form**: -0.60 eV/atom

Cell and atoms, written as POSCAR:
```
Pm2Pr2Au3
1.0
-4.614 4.614 4.614
4.614 -4.614 4.614
4.614 4.614 -4.614
Pm Pr Au
4 4 6
Cartesian
5.252 -0.637 0.637
0.637 5.252 -0.637
-0.637 0.637 5.252
3.977 3.977 3.977
2.959 1.655 -1.655
1.655 -1.655 2.959
1.655 1.655 1.655
-1.655 2.959 1.655
4.614 -2.307 3.407
3.407 4.614 -2.307
4.614 2.307 1.207
2.307 1.207 4.614
1.207 4.614 2.307
-2.307 3.407 4.614
```



Density functional theory data (PBE) for a relaxed PmPr2Au2 crystal.

Output
**E above lowest polymorph**: 54 meV/atom
**SG**: Immm (71)
**E_form**: -0.57 eV/atom

Cell and atoms, written as POSCAR:
```
PmPr2Au2
1.0
-2.029 3.627 4.961
2.029 -3.627 4.961
2.029 3.627 -4.961
Pm Pr Au
1 2 2
Cartesian
0.000 0.000 0.000
2.029 0.000 3.003
0.000 3.627 1.958
2.029 2.154 0.000
0.000 1.473 4.961
```



Density functional theory data (PBE) for a relaxed PmPr2Au crystal.

Output
**E above lowest polymorph**: 163 meV/atom
**SG**: R3m (160)
**E_form**: -0.23 eV/atom

Cell and atoms, written as POSCAR:
```
PmPr2Au
1.0
1.926 1.112 10.228
-1.926 1.112 10.228
0.000 -2.224 10.228
Pm Pr Au
1 2 1
Cartesian
0.000 0.000 0.000
0.000 0.000 7.254
0.000 0.000 13.171
0.000 0.000 25.552
```



Density functional theory data (PBE) for a relaxed PmPrRuAu crystal.

Output
**SG**: F-43m (216)
**E_form**: -0.42 eV/atom

Cell and atoms, written as POSCAR:
```
PmPrRuAu
1.0
0.000 3.617 3.617
3.617 0.000 3.617
3.617 3.617 0.000
Pm Pr Ru Au
1 1 1 1
Cartesian
0.000 0.000 0.000
3.617 3.617 3.617
5.425 5.425 5.425
1.808 1.808 1.808
```



Density functional theory data (PBE) for a relaxed PmPrSnAu crystal.

Output
**SG**: F-43m (216)
**E_form**: -0.71 eV/atom

Cell and atoms, written as POSCAR:
```
PmPrSnAu
1.0
0.000 3.811 3.811
3.811 0.000 3.811
3.811 3.811 0.000
Pm Pr Sn Au
1 1 1 1
Cartesian
0.000 0.000 0.000
3.811 3.811 3.811
1.905 1.905 1.905
5.716 5.716 5.716
```



Density functional theory data (PBE) for a relaxed PmPrTeAu crystal.

Output
**E above lowest polymorph**: 182 meV/atom
**SG**: F-43m (216)
**ΔE_f (raw)**: -338.4 kJ/mol of formula units

Cell and atoms, written as POSCAR:
```
PmPrTeAu
1.0
0.000 3.804 3.804
3.804 0.000 3.804
3.804 3.804 0.000
Pm Pr Te Au
1 1 1 1
Cartesian
0.000 0.000 0.000
3.804 3.804 3.804
1.902 1.902 1.902
5.706 5.706 5.706
```



no.,total magnetization (μB/f.u.),total DFT energy (no corrections) (eV for the cell shown),N(E_F) (states/eV/f.u.)
1,0.00,-38.4,4.3
2,0.00,-54.5,7.2
3,0.00,-27.3,2.9
4,0.00,-18.6,5.3
5,0.00,-38.3,8.6
6,0.00,-18.4,5.7
7,0.00,-48.1,5.3
8,0.00,-48.0,5.3
9,0.00,-76.5,4.1
10,0.00,-48.1,4.5
11,0.00,-99.4,6.4
12,0.00,-31.9,6.5
13,0.00,-19.0,5.8
14,0.00,-48.0,10.5
15,0.00,-46.1,6.4
16,0.00,-57.9,6.0
17,0.00,-57.3,10.1
18,0.00,-18.5,4.7
19,0.00,-66.2,10.2
20,0.00,-23.7,6.1
21,0.00,-18.5,5.0
22,0.00,-23.8,3.3
23,0.80,-19.7,2.6
24,1.19,-19.5,4.8